Material: Tb4CdAg
Method: DFT, PBE
State: optimized geometry

Unit cell a=3.6181 b=3.6181 c=12.7767 alpha=90.00 beta=90.00 gamma=90.00
With the nearest neighbours (Å) after each atom.
Fractional positions:
Tb 0.0000 0.0000 0.1455  4 Ag 3.16
Tb 0.0000 0.0000 0.8545  4 Ag 3.16
Tb 0.5000 0.5000 0.3399  4 Cd 3.28, 8 Tb 3.57-3.62
Tb 0.5000 0.5000 0.6601  4 Cd 3.28, 8 Tb 3.57-3.62
Cd 0.0000 0.0000 0.5000  8 Tb 3.28, 4 Cd 3.62
Ag 0.5000 0.5000 0.0000  8 Tb 3.16

Its magnetic moment is 1.730 μB/f.u. The calculation puts the energy above the most stable polymorph in this dataset at 0 meV/atom. As for the formation energy: -0.1822 eV per atom.

=====

Material: In4Hg4Pb3
Method: DFT, PBE
State: optimized geometry

Unit cell a=9.4630 b=7.5103 c=7.5103 alpha=36.00 beta=90.00 gamma=90.00
With the nearest neighbours (Å) after each atom.
Fractional positions:
In 0.0000 0.0000 0.0000  2 Hg 3.06, 4 In 3.21
In 0.2336 0.4911 0.4911  4 In 3.21-3.44, 4 Hg 3.24-3.49, 3 Pb 3.35-3.45
In 0.5000 0.9740 0.9740  2 Hg 3.18, 4 Pb 3.38-3.43, 4 In 3.44
In 0.7664 0.4911 0.4911  4 In 3.21-3.44, 4 Hg 3.24-3.49, 3 Pb 3.35-3.45
Hg 0.0000 0.3108 0.3108  2 Hg 3.18, 4 Pb 3.19, 4 In 3.39-3.56
Hg 0.2319 0.1495 0.1495  3 In 3.06-3.24, 1 Hg 3.18, 2 Pb 3.29
Hg 0.5000 0.3220 0.3220  4 In 3.18-3.49, 6 Pb 3.42-3.45, 2 Hg 3.54
Hg 0.7681 0.1495 0.1495  3 In 3.06-3.24, 1 Hg 3.18, 2 Pb 3.29
Pb 0.2308 0.8128 0.8128  6 Hg 3.19-3.45, 4 In 3.43-3.45, 1 Pb 3.49
Pb 0.5000 0.6460 0.6460  4 In 3.35-3.38, 6 Hg 3.42-3.44, 2 Pb 3.49
Pb 0.7692 0.8128 0.8128  6 Hg 3.19-3.45, 4 In 3.43-3.45, 1 Pb 3.49

Its magnetic moment is 0.000 μB/f.u. As for the formation energy: 0.0472 eV per atom.

=====

Material: SmPuAs2
Method: DFT, PBE
State: optimized geometry

Unit cell a=7.2057 b=7.2057 c=7.2057 alpha=33.71 beta=33.71 gamma=33.71
With the nearest neighbours (Å) after each atom.
Fractional positions:
Sm 0.0000 0.0000 0.0000  6 As 2.98
Pu 0.5000 0.5000 0.5000  6 As 2.92
As 0.2471 0.2471 0.2471  3 Pu 2.92, 3 Sm 2.98
As 0.7529 0.7529 0.7529  3 Pu 2.92, 3 Sm 2.98

Its magnetic moment is 4.950 μB/f.u. The calculation puts the energy above the most stable polymorph in this dataset at 0 meV/atom. As for the formation energy: -1.2725 eV per atom.

=====

magnetic moment of number 3 (SmPuAs2)?
4.950 μB/f.u.

=====

Which of these has the lowest magnetic moment?
In4Hg4Pb3

=====

What is the formula in the first record?
Tb4CdAg